An optimized crystal structure of La4PrHo2Th, computed with PBE-GGA.

a = 6.3025 Å, b = 3.6596 Å, c = 12.1391 Å
α = 90.00°, β = 99.94°, γ = 90.00°
With the nearest neighbours (Å) after each atom.
Atoms (fractional coordinates):
La1 0.2456 0.0000 0.2464  2 Th 3.62, 6 La 3.63-3.66, 3 Ho 3.63-3.70, 1 Pr 3.68
La2 0.2515 0.5000 0.7547  1 Th 3.61, 3 Ho 3.61-3.70, 6 La 3.63-3.66, 2 Pr 3.71
La3 0.7485 0.5000 0.2453  1 Th 3.61, 3 Ho 3.61-3.70, 6 La 3.63-3.66, 2 Pr 3.71
La4 0.7544 0.0000 0.7536  2 Th 3.62, 6 La 3.63-3.66, 3 Ho 3.63-3.70, 1 Pr 3.68
Pr1 0.0000 0.0000 0.5000  4 Ho 3.64, 2 Pr 3.66, 6 La 3.68-3.71
Ho1 0.5000 0.0000 0.0000  6 La 3.61-3.63, 4 Th 3.64, 2 Ho 3.66
Ho2 0.5000 0.5000 0.5000  4 Pr 3.64, 2 Ho 3.66, 6 La 3.70
Th1 0.0000 0.5000 0.0000  6 La 3.61-3.62, 4 Ho 3.64, 2 Th 3.66

As for the space group: P2/m, No. 10. The density of states at the Fermi level is 12.54 states/eV/cell. As for the formation energy: 0.03 eV/atom. The crystal system is monoclinic. The density is 7.58 g/cm3.